[1]
CsTeNF2 after structural relaxation, computed with PBE.

Geometry as POSCAR:
```
CsTeNF2
1.0
-4.605 0.537 1.723
0.267 -4.467 2.106
1.464 1.685 3.389
Cs N Te F
1 1 1 2
Direct
0.500 0.500 0.500 Cs
0.000 0.000 0.500 N
0.000 0.000 0.000 Te
0.000 0.500 0.000 F
0.500 0.000 0.000 F
```

## Properties
- Uncorrected formation energy: -1.0393 eV per atom
- Total magnetization: 0.00 μB/atom
- Space group: No. 123
- Density of states at the Fermi level: 0.79 states/eV per cell

=====

[2]
Y3Co3Ni after structural relaxation, computed with PBE.

Geometry as POSCAR:
```
Y3Co3Ni
1.0
4.204 0.000 0.000
-2.102 4.941 0.000
0.000 0.000 12.377
Y Co Ni
6 6 2
Direct
0.225 0.449 0.897 Y
0.775 0.551 0.103 Y
0.225 0.449 0.603 Y
0.775 0.551 0.397 Y
0.516 0.032 0.750 Y
0.484 0.968 0.250 Y
0.934 0.869 0.913 Co
0.066 0.131 0.087 Co
0.934 0.869 0.587 Co
0.066 0.131 0.413 Co
0.819 0.638 0.750 Co
0.181 0.362 0.250 Co
0.500 0.000 0.000 Ni
0.500 0.000 0.500 Ni
```

## Properties
- Total magnetization: 0.30 μB/atom
- Space group: No. 63
- ΔE_f: -222.0 meV per atom
- Density of states at the Fermi level: 15.86 states/eV per cell

=====

[3]
AcSm2Y7 after structural relaxation, computed with PBE.

Geometry as POSCAR:
```
AcSm2Y7
1.0
6.063 -1.507 -0.071
-2.733 6.618 -3.825
0.060 -0.381 9.571
Ac Sm Y
1 2 7
Direct
0.000 0.000 0.000 Ac
0.403 0.604 0.402 Sm
0.597 0.396 0.598 Sm
0.100 0.900 0.597 Y
0.900 0.100 0.403 Y
0.295 0.695 0.796 Y
0.705 0.305 0.204 Y
0.202 0.798 0.202 Y
0.798 0.202 0.798 Y
0.500 0.500 0.000 Y
```

## Properties
- Total magnetization: 0.00 μB/atom
- Space group: No. 2
- ΔE_f: 30.0 meV per atom
- Density of states at the Fermi level: 15.49 states/eV per cell

=====

[4]
Y2OsW after structural relaxation, computed with PBE.

Geometry as POSCAR:
```
Y2OsW
1.0
5.006 0.022 0.000
-0.019 5.006 0.000
0.000 0.000 3.319
Os W Y
1 1 2
Direct
0.500 0.000 0.500 Os
0.000 0.500 0.500 W
0.000 0.000 0.000 Y
0.500 0.500 0.000 Y
```

## Properties
- Total magnetization: 0.00 μB/atom
- Space group: No. 123
- ΔE_f: 501.0 meV per atom
- Density of states at the Fermi level: 5.34 states/eV per cell

=====

[5]
ReAsSe2Br after structural relaxation, computed with PBE.

Geometry as POSCAR:
```
ReAsSe2Br
1.0
-1.669 -1.972 4.061
4.508 -0.495 1.613
-0.265 4.748 2.198
Re As Se Br
1 1 2 1
Direct
0.000 0.000 0.000 Re
0.500 0.500 0.500 As
0.000 0.500 0.000 Se
0.500 0.000 0.000 Se
0.000 0.000 0.500 Br
```

## Properties
- Uncorrected formation energy: 0.7173 eV per atom
- Total magnetization: 0.23 μB/atom
- Space group: No. 123
- Density of states at the Fermi level: 4.63 states/eV per cell

=====

[6]
Tb3YTm2Te6 after structural relaxation, computed with PBE.

Geometry as POSCAR:
```
Tb3YTm2Te6
1.0
-2.260 1.018 3.546
-7.441 -1.780 -4.230
3.556 -8.810 2.157
Tb Y Tm Te
3 1 2 6
Direct
0.500 0.500 0.000 Tb
0.836 0.168 0.673 Tb
0.164 0.832 0.327 Tb
0.500 0.000 0.000 Y
0.835 0.670 0.670 Tm
0.165 0.330 0.330 Tm
0.332 0.913 0.664 Te
0.669 0.579 0.338 Te
0.668 0.087 0.336 Te
0.002 0.251 0.005 Te
0.998 0.749 0.995 Te
0.331 0.421 0.662 Te
```

## Properties
- Uncorrected formation energy: -1.2639 eV per atom
- Total magnetization: 0.00 μB/atom
- Space group: No. 12
- Density of states at the Fermi level: 6.45 states/eV per cell

=====

[7]
HfU5N6 after structural relaxation, computed with PBE.

Geometry as POSCAR:
```
HfU5N6
1.0
-0.886 -5.638 -1.447
5.095 -2.949 0.370
1.558 -2.572 5.066
U Hf N
5 1 6
Direct
0.500 0.167 0.665 U
0.000 0.334 0.332 U
0.500 0.500 0.000 U
0.000 0.666 0.668 U
0.500 0.833 0.335 U
0.000 0.000 0.000 Hf
0.762 0.079 0.321 N
0.238 0.601 0.321 N
0.241 0.239 0.000 N
0.759 0.761 0.000 N
0.762 0.399 0.679 N
0.238 0.921 0.679 N
```

## Properties
- Uncorrected formation energy: -1.3971 eV per atom
- Total magnetization: 0.52 μB/atom
- Space group: No. 12
- Density of states at the Fermi level: 22.47 states/eV per cell

=====

[8]
RbSr2Zn2 after structural relaxation, computed with PBE.

Geometry as POSCAR:
```
RbSr2Zn2
1.0
6.037 0.000 0.000
0.000 6.037 0.000
3.019 3.019 6.396
Sr Zn Rb
2 2 1
Direct
0.336 0.336 0.327 Sr
0.664 0.664 0.673 Sr
0.750 0.250 0.500 Zn
0.250 0.750 0.500 Zn
0.000 0.000 0.000 Rb
```

## Properties
- Total magnetization: 0.00 μB/atom
- Space group: No. 139
- ΔE_f: 154.0 meV per atom
- Density of states at the Fermi level: 5.22 states/eV per cell